A geometry-optimized TeMoOs2 structure, computed with PBE.

abc: 9.5642 2.9558 4.7123
angles: 90.00 95.75 90.00
Last column: nearest neighbours and their distance in Å.
Space group C2/m (No. 12)
Unique sites:
Te 0.0000 0.0000 0.0000  2 Os 2.67, 4 Mo 2.78, 2 Te 2.96
Mo 0.0000 0.5000 0.5000  4 Te 2.78, 6 Os 2.79-2.88, 2 Mo 2.96
Os 0.2318 0.0000 0.7263  6 Os 2.65-2.96, 1 Te 2.67, 3 Mo 2.79-2.88

Calculated values
DOS(E_F), states/eV per cell: 6.6
E_form (uncorrected), eV/atom: 0.567

A geometry-optimized PuSi2Pd structure, computed with PBE.

abc: 7.2298 3.9504 10.0067
angles: 90.00 90.00 90.00
Last column: nearest neighbours and their distance in Å.
Space group Pnma (No. 62)
Unique sites:
Pu 0.1351 0.2500 0.1307  9 Si 2.95-3.13
Si 0.1597 0.2500 0.8183  2 Pd 2.40-2.52, 2 Si 2.42
Si 0.2268 0.2500 0.4313  2 Si 2.42, 3 Pd 2.46-2.57
Pd 0.0062 0.7500 0.3899  5 Si 2.40-2.57

Calculated values
DOS(E_F), states/eV per cell: 38.2
E_form (uncorrected), eV/atom: -0.659

A geometry-optimized La4PmCo2 structure, computed with PBE.

abc: 7.5180 6.8480 8.0419
angles: 90.00 109.86 90.00
Last column: nearest neighbours and their distance in Å.
Space group P2_1/m (No. 11)
Unique sites:
La 0.1095 0.2500 0.4637  2 Co 2.51-2.80
La 0.2044 0.7500 0.2546  1 Co 2.37
La 0.2564 0.0073 0.9234  3 Co 2.97-3.15, 1 La 3.32
Pm 0.4892 0.2500 0.3465  2 Co 2.79-3.04
Co 0.1039 0.2500 0.1499  1 La 2.51, 1 Pm 2.79
Co 0.4719 0.2500 0.7183  1 La 2.37

Calculated values
Energy relative to the elements, eV/atom: -0.009
DOS(E_F), states/eV per cell: 16.4

A geometry-optimized TlHg2Br2 structure, computed with PBE.

abc: 6.0159 6.0159 9.3260
angles: 90.00 90.00 90.00
Last column: nearest neighbours and their distance in Å.
Space group I4/mmm (No. 139)
Unique sites:
Tl 0.0000 0.0000 0.0000  2 Hg 3.28
Hg 0.0000 0.0000 0.3518  1 Hg 2.76
Br 0.0000 0.5000 0.2500  4 Hg 3.15

Calculated values
Offset from the most stable computed form, eV/atom: 0.036
DOS(E_F), states/eV per cell: 3.3
E_form (uncorrected), eV/atom: -0.339

A geometry-optimized CoTeP2 structure, computed with PBE.

abc: 5.2909 7.2565 3.4793
angles: 90.00 90.00 90.00
Last column: nearest neighbours and their distance in Å.
Space group Cmmm (No. 65)
Unique sites:
Co 0.0000 0.0000 0.0000  2 Te 2.65, 8 P 2.84
Te 0.0000 0.5000 0.0000  2 Co 2.65, 8 P 2.84
P 0.2500 0.2500 0.5000  2 P 2.65, 4 Te 2.84, 4 Co 2.84

Calculated values
DOS(E_F), states/eV per cell: 6.2
E_form (uncorrected), eV/atom: 0.748

A geometry-optimized LiLaAg4 structure, computed with PBE.

abc: 8.0138 8.0138 8.0138
angles: 90.00 90.00 90.00
Last column: nearest neighbours and their distance in Å.
Space group F-43m (No. 216)
Unique sites:
Li 0.0000 0.0000 0.0000  12 Ag 3.32, 4 La 3.47
La 0.2500 0.2500 0.2500  12 Ag 3.33, 4 Li 3.47
Ag 0.1261 0.1261 0.6261  6 Ag 2.81-2.86

Calculated values
Energy relative to the elements, eV/atom: -0.186
DOS(E_F), states/eV per cell: 22.1

A geometry-optimized Ac2GaSi3Rh4 structure, computed with PBE.

abc: 4.2849 4.2849 10.2550
angles: 90.00 90.00 90.00
Last column: nearest neighbours and their distance in Å.
Space group P-4m2 (No. 115)
Unique sites:
Ac 0.0000 0.5000 0.2466  8 Rh 3.25-3.37, 2 Ga 3.31, 6 Si 3.31-3.32
Ga 0.5000 0.5000 0.0000  4 Rh 2.54
Si 0.0000 0.0000 0.0000  4 Rh 2.54
Si 0.0000 0.5000 0.6218  5 Rh 2.48-2.52
Rh 0.0000 0.0000 0.5000  4 Si 2.48
Rh 0.0000 0.5000 0.8676  3 Si 2.52-2.54, 2 Ga 2.54
Rh 0.5000 0.5000 0.5000  4 Si 2.48

Calculated values
DOS(E_F), states/eV per cell: 7.0
E_form (uncorrected), eV/atom: -0.919

A geometry-optimized Nd2SmEr4 structure, computed with PBE.

abc: 6.8331 6.9881 10.3579
angles: 90.01 90.00 106.52
Last column: nearest neighbours and their distance in Å.
Space group P-1 (No. 2)
Unique sites:
Nd 0.0000 0.0000 0.0000  4 Er 3.32, 4 Nd 3.42-3.49
Nd 0.0000 0.0000 0.5000  8 Er 3.41-3.78, 2 Sm 3.49
Nd 0.0000 0.5000 0.0000  8 Er 3.42-3.80, 2 Nd 3.49
Nd 0.5000 0.0000 0.0000  8 Er 3.41-3.79, 2 Nd 3.42
Sm 0.0000 0.5000 0.5000  4 Er 3.30, 2 Sm 3.42, 2 Nd 3.49
Sm 0.5000 0.5000 0.5000  8 Er 3.38-3.77, 2 Sm 3.42
Er 0.2689 0.3107 0.7795  2 Nd 3.32-3.42, 1 Sm 3.38, 5 Er 3.49-3.60
Er 0.2703 0.3112 0.2201  2 Nd 3.32-3.43, 1 Sm 3.38, 5 Er 3.49-3.60
Er 0.2699 0.8097 0.7177  1 Sm 3.30, 2 Nd 3.41, 5 Er 3.49-3.60
Er 0.2713 0.8102 0.2828  1 Sm 3.30, 2 Nd 3.41, 5 Er 3.49-3.60

Calculated values
Energy relative to the elements, eV/atom: 0.208
Offset from the most stable computed form, eV/atom: 0.000
DOS(E_F), states/eV per cell: 18.1